Entry 1:
# Er2PuMg, relaxed, DFT GGA-PBE
# ΔE_f (meV per atom): 49
# Energy above the most stable polymorph in this dataset (meV per atom): 0
data_Er2PuMg
_chemical_formula_sum 'Er2 Pu1 Mg1'
_symmetry_space_group_name_H-M 'P 4/m m m'
_symmetry_Int_Tables_number 123
_symmetry_space_group_name_Hall '-P 4 2'
_cell_length_a 3.429
_cell_length_b 3.429
_cell_length_c 9.454
_cell_angle_alpha 90.00
_cell_angle_beta 90.00
_cell_angle_gamma 90.00
loop_
_atom_site_label
_atom_site_type_symbol
_atom_site_fract_x
_atom_site_fract_y
_atom_site_fract_z
Er1 Er 0.000 0.000 0.244
Pu1 Pu 0.500 0.500 0.500
Mg1 Mg 0.500 0.500 0.000


Entry 2:
# Nd2Sm3ScSe6, relaxed, DFT GGA-PBE
# Uncorrected formation energy (eV per atom): -1.769
data_Nd2Sm3ScSe6
_chemical_formula_sum 'Nd4 Sm6 Sc2 Se12'
_symmetry_space_group_name_H-M 'C 1 2/m 1'
_symmetry_Int_Tables_number 12
_cell_length_a 18.041
_cell_length_b 4.135
_cell_length_c 8.337
_cell_angle_alpha 90.00
_cell_angle_beta 102.99
_cell_angle_gamma 90.00
loop_
_symmetry_equiv_pos_as_xyz
'x,y,z'
'-x,-y,-z'
'-x,y,-z'
'x,-y,z'
'x+1/2,y+1/2,z'
'-x+1/2,-y+1/2,-z'
'-x+1/2,y+1/2,-z'
'x+1/2,-y+1/2,z'
loop_
_atom_site_label
_atom_site_type_symbol
_atom_site_fract_x
_atom_site_fract_y
_atom_site_fract_z
Nd1 Nd 0.168 0.000 0.334
Sm1 Sm 0.000 0.500 0.500
Sm2 Sm 0.172 0.000 0.836
Sc1 Sc 0.000 0.500 0.000
Se1 Se 0.003 0.000 0.767
Se2 Se 0.158 0.500 0.076
Se3 Se 0.165 0.500 0.586


Entry 3:
# Y2TlIr2, relaxed, DFT GGA-PBE
# ΔE_f (meV per atom): -315
data_Y2TlIr2
_chemical_formula_sum 'Y4 Tl2 Ir4'
_symmetry_space_group_name_H-M 'I 4/m m m'
_symmetry_Int_Tables_number 139
_symmetry_space_group_name_Hall '-I 4 2'
_cell_length_a 3.736
_cell_length_b 3.736
_cell_length_c 17.342
_cell_angle_alpha 90.00
_cell_angle_beta 90.00
_cell_angle_gamma 90.00
loop_
_atom_site_label
_atom_site_type_symbol
_atom_site_fract_x
_atom_site_fract_y
_atom_site_fract_z
Y1 Y 0.000 0.000 0.122
Tl1 Tl 0.000 0.000 0.500
Ir1 Ir 0.000 0.500 0.250


Entry 4:
# AcCdCuSn, relaxed, DFT GGA-PBE
# ΔE_f (meV per atom): -203
data_AcCdCuSn
_chemical_formula_sum 'Ac4 Cd4 Cu4 Sn4'
_symmetry_space_group_name_H-M 'F -4 3 m'
_symmetry_Int_Tables_number 216
_symmetry_space_group_name_Hall 'F -4 2 3'
_cell_length_a 7.407
_cell_length_b 7.407
_cell_length_c 7.407
_cell_angle_alpha 90.00
_cell_angle_beta 90.00
_cell_angle_gamma 90.00
loop_
_atom_site_label
_atom_site_type_symbol
_atom_site_fract_x
_atom_site_fract_y
_atom_site_fract_z
Ac1 Ac 0.000 0.000 0.000
Cd1 Cd 0.250 0.250 0.250
Cu1 Cu 0.250 0.250 0.750
Sn1 Sn 0.000 0.000 0.500


Number 4 is which compound? AcCdCuSn